No. 1
Density functional theory data (PBE) for TbLuOsAu after structural relaxation.

The energy of formation from the pure elements is -0.51 eV/atom. The mass density is 14.36 g/cm3. The calculated volume is 333.61 Å³ per cell.

The structure belongs to space group F-43m (No. 216); the cell edges are 6.936, 6.936 and 6.936 Å and the angles 90.00°, 90.00° and 90.00°. The asymmetric unit holds Tb at (0.000, 0.000, 0.000), Lu at (0.000, 0.000, 0.500), Os at (0.250, 0.250, 0.250) and Au at (0.250, 0.250, 0.750).

=====

No. 2
Density functional theory data (PBE) for ZrCr2Pb after structural relaxation.

The energy of formation from the pure elements is 0.39 eV/atom. The mass density is 9.23 g/cm3. The calculated volume is 72.43 Å³ per cell.

The structure belongs to space group P4/mmm (No. 123); the cell edges are 3.376, 3.376 and 6.356 Å and the angles 90.00°, 90.00° and 90.00°. The asymmetric unit holds Zr at (0.000, 0.000, 0.000), Cr at (0.500, 0.500, 0.242) and Pb at (0.000, 0.000, 0.500).